[1]
Computed, not measured: DyHoW2N6 after structural relaxation at the PBE-GGA level of DFT.

Theoretical density ... 8.256 g/cm3
Energy relative to the elements, uncorrected ... -10.107 eV per formula unit
Raw total energy ... -9.51 eV per atom

a b c (Å): 6.3004 7.3799 7.3799
angles (deg): 81.21 73.16 73.16
Sites, in units of the cell vectors:
Ho  0.2500  0.2869  0.7131
Ho  0.7500  0.7131  0.2869
N  0.1558  0.9988  0.7802
N  0.3408  0.8855  0.3740
N  0.9221  0.3690  0.3409
N  0.8442  0.0012  0.2198
N  0.6592  0.1145  0.6260
N  0.1592  0.6260  0.1145
N  0.3442  0.2198  0.0012
N  0.6558  0.7802  0.9988
N  0.4221  0.3409  0.3690
N  0.8408  0.3740  0.8855
N  0.0779  0.6310  0.6591
N  0.5779  0.6591  0.6310
W  0.7778  0.6202  0.7986
W  0.2778  0.7986  0.6202
W  0.7222  0.2014  0.3798
W  0.2222  0.3798  0.2014
Dy  0.2500  0.9092  0.0908
Dy  0.7500  0.0908  0.9092

[2]
Computed, not measured: DyY2HoN4 after structural relaxation at the PBE-GGA level of DFT.

Theoretical density ... 7.886 g/cm3
Energy relative to the elements, uncorrected ... -13.676 eV per formula unit
Raw total energy ... -8.64 eV per atom

a b c (Å): 3.4707 6.0092 6.0093
angles (deg): 109.45 90.00 90.00
Sites, in units of the cell vectors:
N  0.5000  0.7512  0.7517
N  0.0000  0.2498  0.7514
N  0.0000  0.7502  0.2486
N  0.5000  0.2488  0.2483
Dy  0.5000  0.5000  0.0000
Y  0.5000  0.0000  0.5000
Y  0.0000  0.5000  0.5000
Ho  0.0000  0.0000  0.0000

[3]
Computed, not measured: DyYHo2N4 after structural relaxation at the PBE-GGA level of DFT.

Theoretical density ... 9.010 g/cm3
Energy relative to the elements, uncorrected ... -13.780 eV per formula unit
Raw total energy ... -8.41 eV per atom

a b c (Å): 3.4636 5.9968 5.9970
angles (deg): 109.45 90.00 90.00
Sites, in units of the cell vectors:
Ho  0.0000  0.5000  0.5000
Ho  0.5000  0.0000  0.5000
Dy  0.0000  0.0000  0.0000
N  0.5000  0.2502  0.2517
N  0.0000  0.7511  0.2519
N  0.5000  0.7498  0.7483
N  0.0000  0.2489  0.7481
Y  0.5000  0.5000  0.0000

[4]
Computed, not measured: Dy2YHoN4 after structural relaxation at the PBE-GGA level of DFT.

Theoretical density ... 8.930 g/cm3
Energy relative to the elements, uncorrected ... -13.701 eV per formula unit
Raw total energy ... -8.41 eV per atom

a b c (Å): 3.4695 6.0071 6.0069
angles (deg): 109.45 90.00 90.00
Sites, in units of the cell vectors:
N  0.5000  0.7512  0.7506
N  0.5000  0.2488  0.2494
N  0.0000  0.7510  0.2501
N  0.0000  0.2490  0.7499
Dy  0.0000  0.5000  0.5000
Dy  0.5000  0.0000  0.5000
Ho  0.0000  0.0000  0.0000
Y  0.5000  0.5000  0.0000

[5]
Computed, not measured: DyHo2Zr3N6 after structural relaxation at the PBE-GGA level of DFT.

Theoretical density ... 8.872 g/cm3
Energy relative to the elements, uncorrected ... -20.907 eV per formula unit
Raw total energy ... -9.19 eV per atom

a b c (Å): 5.7762 5.7762 5.8308
angles (deg): 99.55 99.55 119.91
Sites, in units of the cell vectors:
N  0.5769  0.9114  0.7346
N  0.2458  0.2458  0.7345
N  0.7542  0.7542  0.2655
N  0.9114  0.5769  0.7346
N  0.4231  0.0886  0.2654
N  0.0886  0.4231  0.2654
Zr  0.5000  0.5000  0.5000
Zr  0.8331  0.1669  0.5000
Zr  0.1669  0.8331  0.5000
Ho  0.3333  0.6667  0.0000
Ho  0.6667  0.3333  0.0000
Dy  0.0000  0.0000  0.0000

[6]
Computed, not measured: Dy3HoZr2N6 after structural relaxation at the PBE-GGA level of DFT.

Theoretical density ... 9.259 g/cm3
Energy relative to the elements, uncorrected ... -20.820 eV per formula unit
Raw total energy ... -8.85 eV per atom

a b c (Å): 3.3808 6.7911 7.5733
angles (deg): 103.17 102.90 90.00
Sites, in units of the cell vectors:
Dy  0.1668  0.8330  0.3335
Dy  0.5000  0.5000  0.0000
Dy  0.8332  0.1670  0.6665
Ho  0.5000  0.0000  0.0000
Zr  0.8330  0.6657  0.6661
Zr  0.1670  0.3343  0.3339
N  0.9936  0.7473  0.9872
N  0.3326  0.9029  0.6652
N  0.6674  0.0971  0.3348
N  0.0064  0.2527  0.0128
N  0.6709  0.5742  0.3417
N  0.3291  0.4258  0.6583